Entry 1:
This record from Alexandria describes a geometry-optimized Ba2NaTe2O6 structure. The functional is PBE.

Values from the calculation:
Energy relative to the elements, uncorrected, eV per atom: -1.576
DOS at the Fermi energy, states/eV per cell: 2.0
Size of the total moment, μB/cell: 0.00
Space group: C2/m

Cell: 6.720 6.720 6.612 Å, 113.02 113.02 60.58°
Fractional coordinates of all 11 atoms:
Ba  0.170  0.170  0.178
Ba  0.830  0.830  0.822
Na  0.000  0.000  0.500
Te  0.486  0.486  0.761
Te  0.514  0.514  0.239
O  0.188  0.772  0.210
O  0.228  0.812  0.790
O  0.303  0.303  0.629
O  0.697  0.697  0.371
O  0.772  0.188  0.210
O  0.812  0.228  0.790

=====

Entry 2:
This record from Alexandria describes a geometry-optimized Ce2SmIr structure. The functional is PBE.

Values from the calculation:
Polymorph energy (0 for the lowest one), kcal/mol of atoms: 3.13
DOS at the Fermi energy, states/eV per cell: 9.3
Size of the total moment, μB/cell: 0.00
Space group: P4/mmm

Cell: 3.696 3.696 7.667 Å, 90.00 90.00 90.00°
Fractional coordinates of all 4 atoms:
Ce  0.000  0.000  0.190
Ce  0.000  0.000  0.810
Sm  0.500  0.500  0.500
Ir  0.500  0.500  0.000

=====

Entry 3:
This record from Alexandria describes a geometry-optimized CsPt2N2 structure. The functional is PBE.

Values from the calculation:
Polymorph energy (0 for the lowest one), kcal/mol of atoms: 10.14
Energy relative to the elements, uncorrected, eV per atom: 1.125
DOS at the Fermi energy, states/eV per cell: 3.5
Size of the total moment, μB/cell: 0.00
Space group: P4/mbm

Cell: 8.719 8.719 3.052 Å, 90.00 90.00 90.00°
Fractional coordinates of all 10 atoms:
Cs  0.000  0.000  0.000
Cs  0.500  0.500  0.000
Pt  0.153  0.347  0.500
Pt  0.347  0.847  0.500
Pt  0.653  0.153  0.500
Pt  0.847  0.653  0.500
N  0.048  0.548  0.000
N  0.452  0.048  0.000
N  0.548  0.952  0.000
N  0.952  0.452  0.000